No. 1
DFT (GGA-PBE) results for P2IrCCl after structural relaxation.

Structure (extended XYZ):
```
5
Lattice="4.538 0.000 0.000 0.000 4.538 0.000 0.000 0.000 5.029" Properties=species:S:1:pos:R:3 pbc="T T T"
P 0.000 2.269 0.000
P 2.269 0.000 0.000
C 2.269 2.269 2.515
Ir 0.000 0.000 0.000
Cl 0.000 0.000 2.515
```

Summary:
energy above the lowest structure with this stoichiometry: 0.397 eV/atom
SG: P4/mmm
energy relative to the elements, uncorrected: 1773 meV/atom
volume: 103.56 Å³ per cell
total magnetization: 0.233 μB/atom

No. 2
DFT (GGA-PBE) results for LaRe2Se after structural relaxation.

Structure (extended XYZ):
```
4
Lattice="-7.343 4.881 3.621 -8.163 2.051 4.475 -6.226 3.677 6.211" Properties=species:S:1:pos:R:3 pbc="T T T"
La -16.256 7.936 10.702
Re -21.452 10.473 14.123
Re -5.413 2.643 3.564
Se -11.207 5.471 7.378
```

Summary:
SG: R3m
energy relative to the elements, uncorrected: 382 meV/atom
volume: 76.33 Å³ per cell
total magnetization: 0.096 μB/atom

Number 1 is which compound? P2IrCCl

Among the records above, which one has the lowest energy relative to the elements, uncorrected? LaRe2Se

What is the total magnetization in the second record? 0.096 μB/atom

Number 2 is which compound? LaRe2Se